First-principles (PBE) data for a relaxed CsThSi crystal, as listed in OQMD via LeMat-Bulk.

Cell lengths 5.279, 5.279, 5.279 Å; angles 60.00, 60.00, 60.00 degrees
Positions (direct):
Cs  0.250  0.250  0.250
Si  0.000  0.000  0.000
Th  0.750  0.750  0.750

Output
The energy above the most stable polymorph in this dataset is 0 meV per atom. The value obtained for the size of the total moment is 0.86 μB/f.u.


First-principles (PBE) data for a relaxed CsTmSi crystal, as listed in OQMD via LeMat-Bulk.

Cell lengths 9.144, 9.144, 3.435 Å; angles 90.00, 90.00, 120.00 degrees
Positions (direct):
Cs  0.308  0.000  0.000
Cs  0.000  0.308  0.000
Cs  0.692  0.692  0.000
Si  0.638  0.000  0.500
Si  0.362  0.362  0.500
Si  0.000  0.638  0.500
Tm  0.667  0.333  0.000
Tm  0.333  0.667  0.000
Tm  0.000  0.000  0.500

Output
The energy above the most stable polymorph in this dataset is 54 meV per atom. The value obtained for the size of the total moment is 0.01 μB/f.u.


First-principles (PBE) data for a relaxed CsTmSi crystal, as listed in OQMD via LeMat-Bulk.

Cell lengths 5.341, 5.341, 5.341 Å; angles 60.00, 60.00, 60.00 degrees
Positions (direct):
Cs  0.250  0.250  0.250
Si  0.000  0.000  0.000
Tm  0.750  0.750  0.750

Output
The energy above the most stable polymorph in this dataset is 0 meV per atom. The value obtained for the size of the total moment is 0.00 μB/f.u.


First-principles (PBE) data for a relaxed CsSi5W3 crystal, as listed in OQMD via LeMat-Bulk.

Cell lengths 5.306, 5.306, 9.046 Å; angles 90.00, 90.00, 120.00 degrees
Positions (direct):
Cs  0.000  0.000  0.000
Si  0.667  0.333  0.262
Si  0.333  0.667  0.262
Si  0.000  0.000  0.500
Si  0.667  0.333  0.738
Si  0.333  0.667  0.738
W  0.500  0.000  0.500
W  0.000  0.500  0.500
W  0.500  0.500  0.500

Output
As for the total energy: -7.18 eV per atom. The value obtained for the size of the total moment is 0.01 μB/f.u.


First-principles (PBE) data for a relaxed CsSiW crystal, as listed in OQMD via LeMat-Bulk.

Cell lengths 5.237, 5.237, 5.237 Å; angles 60.00, 60.00, 60.00 degrees
Positions (direct):
Cs  0.000  0.000  0.000
Si  0.250  0.250  0.250
W  0.750  0.750  0.750

Output
The energy above the most stable polymorph in this dataset is 826 meV per atom. The value obtained for the size of the total moment is 3.10 μB/f.u.


First-principles (PBE) data for a relaxed CsSiW crystal, as listed in OQMD via LeMat-Bulk.

Cell lengths 5.013, 5.013, 5.013 Å; angles 60.00, 60.00, 60.00 degrees
Positions (direct):
Cs  0.250  0.250  0.250
Si  0.000  0.000  0.000
W  0.750  0.750  0.750

Output
The energy above the most stable polymorph in this dataset is 0 meV per atom. The value obtained for the size of the total moment is 3.00 μB/f.u.


First-principles (PBE) data for a relaxed CsZnSi crystal, as listed in OQMD via LeMat-Bulk.

Cell lengths 5.216, 5.216, 5.216 Å; angles 60.00, 60.00, 60.00 degrees
Positions (direct):
Cs  0.250  0.250  0.250
Si  0.750  0.750  0.750
Zn  0.000  0.000  0.000

Output
The energy above the most stable polymorph in this dataset is 0 meV per atom.


First-principles (PBE) data for a relaxed CsZrSi crystal, as listed in OQMD via LeMat-Bulk.

Cell lengths 5.111, 5.111, 5.111 Å; angles 60.00, 60.00, 60.00 degrees
Positions (direct):
Cs  0.250  0.250  0.250
Si  0.000  0.000  0.000
Zr  0.750  0.750  0.750

Output
The energy above the most stable polymorph in this dataset is 49 meV per atom. The value obtained for the size of the total moment is 0.99 μB/f.u.


First-principles (PBE) data for a relaxed CsZrSi crystal, as listed in OQMD via LeMat-Bulk.

Cell lengths 4.996, 4.996, 4.996 Å; angles 60.00, 60.00, 60.00 degrees
Positions (direct):
Cs  0.250  0.250  0.250
Si  0.750  0.750  0.750
Zr  0.000  0.000  0.000

Output
The energy above the most stable polymorph in this dataset is 0 meV per atom. The value obtained for the size of the total moment is 0.87 μB/f.u.


First-principles (PBE) data for a relaxed CsZr3Si5 crystal, as listed in OQMD via LeMat-Bulk.

Cell lengths 5.981, 5.981, 6.692 Å; angles 90.00, 90.00, 120.00 degrees
Positions (direct):
Cs  0.000  0.000  0.000
Si  0.667  0.333  0.174
Si  0.333  0.667  0.174
Si  0.000  0.000  0.500
Si  0.667  0.333  0.826
Si  0.333  0.667  0.826
Zr  0.500  0.000  0.500
Zr  0.000  0.500  0.500
Zr  0.500  0.500  0.500

Output
As for the total energy: -5.97 eV per atom. The value obtained for the size of the total moment is 0.00 μB/f.u.


First-principles (PBE) data for a relaxed CsZrSi crystal, as listed in OQMD via LeMat-Bulk.

Cell lengths 4.997, 4.997, 4.997 Å; angles 60.00, 60.00, 60.00 degrees
Positions (direct):
Cs  0.000  0.000  0.000
Si  0.250  0.250  0.250
Zr  0.750  0.750  0.750

Output
The energy above the most stable polymorph in this dataset is 795 meV per atom. The value obtained for the size of the total moment is 0.81 μB/f.u.


First-principles (PBE) data for a relaxed Cs2Sm crystal, as listed in OQMD via LeMat-Bulk.

Cell lengths 8.056, 8.056, 8.056 Å; angles 60.00, 60.00, 60.00 degrees
Positions (direct):
Cs  0.625  0.625  0.125
Cs  0.625  0.125  0.625
Cs  0.125  0.625  0.625
Cs  0.625  0.625  0.625
Sm  0.000  0.000  0.000
Sm  0.250  0.250  0.250

Output
As for the total energy: -1.31 eV per atom. The value obtained for the size of the total moment is 1.38 μB/f.u.


First-principles (PBE) data for a relaxed CsSm crystal, as listed in OQMD via LeMat-Bulk.

Cell lengths 3.839, 3.839, 7.569 Å; angles 90.00, 90.00, 120.00 degrees
Positions (direct):
Cs  0.667  0.333  0.750
Sm  0.333  0.667  0.250

Output
As for the total energy: -2.13 eV per atom. The value obtained for the size of the total moment is 0.01 μB/f.u.


First-principles (PBE) data for a relaxed CsSm2 crystal, as listed in OQMD via LeMat-Bulk.

Cell lengths 7.383, 7.383, 7.383 Å; angles 60.00, 60.00, 60.00 degrees
Positions (direct):
Cs  0.000  0.000  0.000
Cs  0.250  0.250  0.250
Sm  0.625  0.625  0.125
Sm  0.625  0.125  0.625
Sm  0.125  0.625  0.625
Sm  0.625  0.625  0.625

Output
As for the total energy: -2.76 eV per atom. The value obtained for the size of the total moment is 1.02 μB/f.u.


First-principles (PBE) data for a relaxed CsSmSn crystal, as listed in OQMD via LeMat-Bulk.

Cell lengths 5.518, 5.518, 5.518 Å; angles 60.00, 60.00, 60.00 degrees
Positions (direct):
Cs  0.250  0.250  0.250
Sm  0.000  0.000  0.000
Sn  0.750  0.750  0.750

Output
As for the total energy: -3.04 eV per atom. The value obtained for the size of the total moment is 0.00 μB/f.u.


First-principles (PBE) data for a relaxed CsSmTc crystal, as listed in OQMD via LeMat-Bulk.

Cell lengths 5.178, 5.178, 5.178 Å; angles 60.00, 60.00, 60.00 degrees
Positions (direct):
Cs  0.250  0.250  0.250
Sm  0.000  0.000  0.000
Tc  0.750  0.750  0.750

Output
As for the total energy: -3.63 eV per atom. The value obtained for the size of the total moment is 1.09 μB/f.u.


First-principles (PBE) data for a relaxed CsSmTe4 crystal, as listed in OQMD via LeMat-Bulk.

Cell lengths 6.940, 6.940, 9.687 Å; angles 90.00, 90.00, 90.00 degrees
Positions (direct):
Cs  0.000  0.000  0.000
Cs  0.500  0.500  0.000
Sm  0.000  0.000  0.500
Sm  0.500  0.500  0.500
Te  0.645  0.145  0.306
Te  0.145  0.355  0.306
Te  0.855  0.645  0.306
Te  0.355  0.855  0.306
Te  0.355  0.145  0.694
Te  0.855  0.355  0.694
Te  0.145  0.645  0.694
Te  0.645  0.855  0.694

Output
As for the total energy: -3.99 eV per atom. The value obtained for the size of the total moment is 0.00 μB/f.u.


First-principles (PBE) data for a relaxed CsSmTlTe3 crystal, as listed in OQMD via LeMat-Bulk.

Cell lengths 8.860, 8.860, 12.322 Å; angles 90.00, 90.00, 149.28 degrees
Positions (direct):
Cs  0.252  0.748  0.250
Cs  0.748  0.252  0.750
Sm  0.500  0.500  0.000
Sm  0.500  0.500  0.500
Te  0.875  0.125  0.027
Te  0.562  0.438  0.250
Te  0.875  0.125  0.473
Te  0.125  0.875  0.527
Te  0.438  0.562  0.750
Te  0.125  0.875  0.973
Tl  0.949  0.051  0.250
Tl  0.051  0.949  0.750

Output
As for the total energy: -3.81 eV per atom. The value obtained for the size of the total moment is 0.02 μB/f.u.


First-principles (PBE) data for a relaxed CsSmYTe3 crystal, as listed in OQMD via LeMat-Bulk.

Cell lengths 9.065, 9.065, 12.046 Å; angles 90.00, 90.00, 149.20 degrees
Positions (direct):
Cs  0.257  0.743  0.250
Cs  0.743  0.257  0.750
Sm  0.000  0.000  0.000
Sm  0.000  0.000  0.500
Te  0.622  0.378  0.043
Te  0.936  0.064  0.250
Te  0.622  0.378  0.457
Te  0.378  0.622  0.543
Te  0.064  0.936  0.750
Te  0.378  0.622  0.957
Y  0.534  0.466  0.250
Y  0.466  0.534  0.750

Output
The energy above the most stable polymorph in this dataset is 0 meV per atom. The value obtained for the size of the total moment is 0.15 μB/f.u.


First-principles (PBE) data for a relaxed CsSmYTe3 crystal, as listed in OQMD via LeMat-Bulk.

Cell lengths 9.074, 9.074, 11.863 Å; angles 90.00, 90.00, 148.96 degrees
Positions (direct):
Cs  0.254  0.746  0.250
Cs  0.746  0.254  0.750
Sm  0.530  0.470  0.250
Sm  0.470  0.530  0.750
Te  0.618  0.382  0.035
Te  0.931  0.069  0.250
Te  0.618  0.382  0.465
Te  0.382  0.618  0.535
Te  0.069  0.931  0.750
Te  0.382  0.618  0.965
Y  0.000  0.000  0.000
Y  0.000  0.000  0.500

Output
The energy above the most stable polymorph in this dataset is 32 meV per atom. The value obtained for the size of the total moment is 0.32 μB/f.u.


First-principles (PBE) data for a relaxed CsSmZnTe3 crystal, as listed in OQMD via LeMat-Bulk.

Cell lengths 8.896, 8.896, 11.884 Å; angles 90.00, 90.00, 29.20 degrees
Positions (direct):
Cs  0.747  0.747  0.250
Cs  0.253  0.253  0.750
Sm  0.000  0.000  0.000
Sm  0.000  0.000  0.500
Te  0.379  0.379  0.062
Te  0.061  0.061  0.250
Te  0.379  0.379  0.438
Te  0.621  0.621  0.562
Te  0.939  0.939  0.750
Te  0.621  0.621  0.938
Zn  0.464  0.464  0.250
Zn  0.536  0.536  0.750

Output
As for the total energy: -3.82 eV per atom. The value obtained for the size of the total moment is 0.00 μB/f.u.


First-principles (PBE) data for a relaxed CsSmZrTe3 crystal, as listed in OQMD via LeMat-Bulk.

Cell lengths 9.052, 9.052, 11.644 Å; angles 90.00, 90.00, 150.15 degrees
Positions (direct):
Cs  0.750  0.250  0.250
Cs  0.250  0.750  0.750
Sm  0.000  0.000  0.000
Sm  0.000  0.000  0.500
Te  0.381  0.619  0.056
Te  0.071  0.929  0.250
Te  0.381  0.619  0.444
Te  0.619  0.381  0.556
Te  0.929  0.071  0.750
Te  0.619  0.381  0.944
Zr  0.477  0.523  0.250
Zr  0.523  0.477  0.750

Output
As for the total energy: -5.00 eV per atom. The value obtained for the size of the total moment is 0.27 μB/f.u.


First-principles (PBE) data for a relaxed CsSmZn crystal, as listed in OQMD via LeMat-Bulk.

Cell lengths 5.259, 5.259, 5.259 Å; angles 60.00, 60.00, 60.00 degrees
Positions (direct):
Cs  0.000  0.000  0.000
Sm  0.750  0.750  0.750
Zn  0.250  0.250  0.250

Output
The energy above the most stable polymorph in this dataset is 215 meV per atom. The value obtained for the size of the total moment is 0.01 μB/f.u.


First-principles (PBE) data for a relaxed CsSmZn crystal, as listed in OQMD via LeMat-Bulk.

Cell lengths 5.367, 5.367, 5.367 Å; angles 60.00, 60.00, 60.00 degrees
Positions (direct):
Cs  0.250  0.250  0.250
Sm  0.000  0.000  0.000
Zn  0.750  0.750  0.750

Output
The energy above the most stable polymorph in this dataset is 0 meV per atom. The value obtained for the size of the total moment is 0.01 μB/f.u.


First-principles (PBE) data for a relaxed CsTmSnTe3 crystal, as listed in OQMD via LeMat-Bulk.

Cell lengths 17.709, 4.428, 12.568 Å; angles 90.00, 90.00, 90.00 degrees
Positions (direct):
Cs  0.727  0.750  0.074
Cs  0.227  0.750  0.426
Cs  0.773  0.250  0.574
Cs  0.273  0.250  0.926
Sn  0.465  0.250  0.084
Sn  0.965  0.250  0.416
Sn  0.035  0.750  0.584
Sn  0.535  0.750  0.916
Te  0.900  0.250  0.037
Te  0.371  0.750  0.173
Te  0.583  0.250  0.241
Te  0.083  0.250  0.259
Te  0.871  0.750  0.327
Te  0.400  0.250  0.463
Te  0.600  0.750  0.537
Te  0.129  0.250  0.673
Te  0.917  0.750  0.741
Te  0.417  0.750  0.759
Te  0.629  0.250  0.827
Te  0.100  0.750  0.963
Tm  0.990  0.750  0.145
Tm  0.490  0.750  0.355
Tm  0.510  0.250  0.645
Tm  0.010  0.250  0.855

Output
The energy above the most stable polymorph in this dataset is 0 meV per atom. The value obtained for the size of the total moment is 0.00 μB/f.u.


First-principles (PBE) data for a relaxed CsTmSnTe3 crystal, as listed in OQMD via LeMat-Bulk.

Cell lengths 9.144, 9.144, 12.784 Å; angles 90.00, 90.00, 152.37 degrees
Positions (direct):
Cs  0.780  0.220  0.250
Cs  0.220  0.780  0.750
Sn  0.094  0.906  0.250
Sn  0.906  0.094  0.750
Te  0.119  0.881  0.008
Te  0.482  0.518  0.250
Te  0.119  0.881  0.492
Te  0.881  0.119  0.508
Te  0.518  0.482  0.750
Te  0.881  0.119  0.992
Tm  0.500  0.500  0.000
Tm  0.500  0.500  0.500

Output
The energy above the most stable polymorph in this dataset is 114 meV per atom. The value obtained for the size of the total moment is 0.00 μB/f.u.